# Li4Mn3Fe3Ni2O16

Li4Mn3Fe3Ni2O16 after structural relaxation (GGA+U, Alexandria).

Raw total energy   -169.3 eV/f.u.

a b c (Å): 5.7642 5.7642 9.6040
angles (deg): 89.79 89.79 60.16
Last column: magnetic moment on the atom in μB.
Fractional positions:
1 Mn 0.8317 0.8317 0.7849  3.15
2 Mn 0.6623 0.1680 0.2848  3.18
3 Mn 0.1680 0.6623 0.2848  3.18
4 Fe 0.3377 0.8318 0.7856  -2.29
5 Fe 0.8318 0.3377 0.7856  -2.29
6 Fe 0.1684 0.1684 0.2857  -2.23
7 O 0.4820 0.4820 0.1683  -0.04
8 O 0.8427 0.3173 0.3923  0.02
9 O 0.5153 0.9653 0.6699  0.04
10 O 0.3173 0.8427 0.3923  0.02
11 O 0.5163 0.5163 0.6730  0.17
12 O 0.6663 0.6663 0.8922  0.08
13 O 0.1597 0.1597 0.8906  0.09
14 O 0.0008 0.0008 0.6869  0.07
15 O 0.0328 0.4801 0.1705  0.05
16 O 0.4801 0.0328 0.1705  0.05
17 O 0.8414 0.8414 0.3948  -0.03
18 O 0.6852 0.1595 0.8933  0.01
19 O 0.1595 0.6852 0.8933  0.01
20 O 0.9998 0.9998 0.1868  -0.02
21 O 0.9653 0.5153 0.6699  0.04
22 O 0.3330 0.3330 0.3923  -0.02
23 Li 0.6652 0.6652 0.1094  0.01
24 Li 0.0038 0.0038 0.0009  0.00
25 Li 0.0020 0.0020 0.5015  0.00
26 Li 0.3321 0.3321 0.6103  0.00
27 Ni 0.3348 0.3348 0.0101  1.77
28 Ni 0.6674 0.6674 0.5118  1.76

# Li4Mn2Fe3Ni3O16

Li4Mn2Fe3Ni3O16 after structural relaxation (GGA+U, Alexandria).

N(E_F)   3.86 states/eV/f.u.
Raw total energy   -161.4 eV/f.u.

a b c (Å): 5.8114 5.8114 9.3708
angles (deg): 88.10 88.10 59.27
Last column: magnetic moment on the atom in μB.
Fractional positions:
1 O 0.0015 0.0015 0.1992  -0.18
2 O 0.8401 0.3396 0.4012  -0.09
3 O 0.6699 0.1772 0.9048  -0.09
4 O 0.3286 0.3286 0.3878  -0.21
5 O 0.5197 0.5197 0.6613  -0.24
6 O 0.5066 0.9602 0.6541  -0.11
7 O 0.8383 0.8383 0.4091  -0.15
8 O 0.0070 0.0070 0.6941  -0.13
9 O 0.9602 0.5066 0.6541  -0.11
10 O 0.1653 0.1653 0.8961  -0.15
11 O 0.1772 0.6699 0.9048  -0.09
12 O 0.4748 0.4748 0.1570  -0.21
13 O 0.6574 0.6574 0.8935  -0.14
14 O 0.4689 0.0345 0.1524  -0.09
15 O 0.0345 0.4689 0.1524  -0.09
16 O 0.3396 0.8401 0.4012  -0.09
17 Mn 0.6697 0.6697 0.5137  3.38
18 Mn 0.3369 0.3369 0.0162  3.39
19 Li 0.3328 0.3328 0.6006  0.00
20 Li 0.9985 0.9985 0.0081  0.00
21 Li 0.6609 0.6609 0.1013  0.00
22 Li 0.0029 0.0029 0.5054  0.00
23 Ni 0.8308 0.8308 0.7886  1.66
24 Ni 0.1665 0.6604 0.2887  1.24
25 Ni 0.6604 0.1665 0.2887  1.24
26 Fe 0.8331 0.3404 0.7866  2.46
27 Fe 0.1699 0.1699 0.2846  2.46
28 Fe 0.3404 0.8331 0.7866  2.46

# Li10Mn2Fe3Ni3O16

Li10Mn2Fe3Ni3O16 after structural relaxation (GGA+U, Alexandria).

Raw total energy   -192.2 eV/f.u.

a b c (Å): 5.9484 5.9484 9.7987
angles (deg): 88.76 88.76 60.76
Last column: magnetic moment on the atom in μB.
Fractional positions:
1 O 0.3168 0.8135 0.8982  0.14
2 O 0.8135 0.3168 0.8982  0.14
3 O 0.6695 0.6695 0.3985  0.18
4 O 0.4807 0.0228 0.6489  0.07
5 O 0.5137 0.9891 0.1547  0.16
6 O 0.8182 0.8182 0.8959  0.11
7 O 0.1674 0.6539 0.4083  0.03
8 O 0.1711 0.1711 0.4133  0.00
9 O 0.9994 0.9994 0.1735  0.13
10 O 0.6539 0.1674 0.4083  0.03
11 O 0.9847 0.9847 0.6677  0.21
12 O 0.0228 0.4807 0.6489  0.07
13 O 0.3263 0.3263 0.8963  0.23
14 O 0.9891 0.5137 0.1547  0.16
15 O 0.5148 0.5148 0.1502  0.02
16 O 0.4812 0.4812 0.6491  0.13
17 Li 0.3913 0.8039 0.5381  0.01
18 Li 0.8023 0.8023 0.5464  0.01
19 Li 0.2117 0.6020 0.0487  0.01
20 Li 0.9895 0.9895 0.9815  0.00
21 Li 0.8039 0.3913 0.5381  0.01
22 Li 0.3309 0.3309 0.2673  0.00
23 Li 0.1904 0.1904 0.0548  0.02
24 Li 0.6020 0.2117 0.0487  0.01
25 Li 0.6505 0.6505 0.7683  0.00
26 Li 0.9974 0.9974 0.4765  0.00
27 Ni 0.1567 0.1567 0.7799  1.76
28 Ni 0.8298 0.3403 0.2804  1.75
29 Ni 0.3403 0.8298 0.2804  1.75
30 Fe 0.6522 0.1593 0.7784  4.32
31 Fe 0.1593 0.6522 0.7784  4.32
32 Fe 0.8269 0.8269 0.2749  4.30
33 Mn 0.3275 0.3275 0.5218  3.40
34 Mn 0.6622 0.6622 0.0240  3.97